DFT (PBE-GGA) results for an optimized crystal structure of ZrMn10Si2.

Unit cell a=6.263 b=6.263 c=8.032 alpha=90.00 beta=90.00 gamma=98.59
Site moments in Bohr magnetons follow the coordinates.
Fractional positions:
Zr: 0.872 0.128 0.750  0.01
Zr: 0.128 0.872 0.250  0.01
Mn: 0.369 0.127 0.750  -0.34
Mn: 0.631 0.873 0.250  -0.34
Mn: 0.873 0.631 0.750  -0.34
Mn: 0.127 0.369 0.250  -0.34
Mn: 0.523 0.747 0.750  -0.57
Mn: 0.477 0.253 0.250  -0.57
Mn: 0.253 0.477 0.750  -0.57
Mn: 0.747 0.523 0.250  -0.57
Mn: 0.828 0.172 0.395  0.49
Mn: 0.172 0.828 0.895  0.49
Mn: 0.828 0.172 0.105  0.49
Mn: 0.172 0.828 0.605  0.49
Mn: 0.607 0.393 0.933  -1.00
Mn: 0.393 0.607 0.433  -1.00
Mn: 0.607 0.393 0.567  -1.00
Mn: 0.393 0.607 0.067  -1.00
Mn: 0.785 0.785 0.000  1.32
Mn: 0.215 0.215 0.500  1.32
Mn: 0.215 0.215 0.000  1.32
Mn: 0.785 0.785 0.500  1.32
Si: 0.500 0.000 0.000  0.01
Si: 0.500 0.000 0.500  0.01
Si: 0.000 0.500 0.500  0.01
Si: 0.000 0.500 0.000  0.01



DFT (PBE-GGA) results for an optimized crystal structure of Zr2MnSi.

Unit cell a=4.533 b=4.533 c=4.533 alpha=60.00 beta=60.00 gamma=60.00
Site moments in Bohr magnetons follow the coordinates.
Fractional positions:
Mn: 0.500 0.500 0.500  0.42
Si: 0.750 0.750 0.750  0.00
Zr: 0.000 0.000 0.000  0.00
Zr: 0.250 0.250 0.250  -0.10



Result set for calculated total energy: -8.7895; -7.9572 eV/atom, one per record in the order listed.